DFT (PBE-GGA) results for Na4CrRh3Se8 after structural relaxation.

abc: 7.608 8.002 7.609
angles: 118.40 120.00 90.00
Site moments in Bohr magnetons follow the coordinates.
Atoms (fractional coordinates):
Se: 0.232 0.694 0.465  -0.04
Se: 0.271 0.313 0.542  0.00
Se: 0.768 0.306 0.038  -0.04
Se: 0.768 0.306 0.535  -0.04
Se: 0.729 0.687 0.458  0.00
Se: 0.729 0.694 0.962  -0.04
Se: 0.232 0.694 0.962  -0.04
Se: 0.271 0.306 0.038  -0.04
Na: 0.000 0.000 0.000  0.00
Na: 0.500 0.000 0.500  0.00
Na: 0.000 0.000 0.500  0.00
Na: 0.500 0.000 0.000  0.00
Rh: 0.500 0.500 0.500  0.01
Rh: 0.000 0.500 0.500  0.01
Rh: 0.500 0.500 0.000  0.01
Cr: 0.000 0.500 0.000  2.92

Calculated values
Energy relative to the elements, uncorrected, eV/f.u.: -11.280
Total DFT energy (no corrections), eV/atom: -4.757
M_tot, μB per cell: 2.902

***

DFT (PBE-GGA) results for Na3CrRh3Se8 after structural relaxation.

abc: 7.470 7.483 8.104
angles: 117.61 90.00 119.95
Site moments in Bohr magnetons follow the coordinates.
Atoms (fractional coordinates):
Se: 0.271 0.542 0.313  -0.02
Se: 0.232 0.962 0.694  -0.08
Se: 0.270 0.038 0.306  -0.08
Se: 0.729 0.458 0.687  -0.02
Se: 0.232 0.464 0.694  -0.08
Se: 0.768 0.536 0.306  -0.08
Se: 0.768 0.038 0.306  -0.08
Se: 0.730 0.962 0.694  -0.08
Rh: 0.000 0.500 0.500  -0.02
Rh: 0.500 0.000 0.500  -0.02
Rh: 0.500 0.500 0.500  -0.02
Na: 0.000 0.000 0.000  0.00
Na: 0.000 0.500 0.000  0.00
Na: 0.500 0.500 0.000  0.00
Cr: 0.000 0.000 0.500  2.79

Calculated values
Energy relative to the elements, uncorrected, eV/f.u.: -9.330
Total DFT energy (no corrections), eV/atom: -4.856
M_tot, μB per cell: 2.264

***

no.,V (Å³/cell)
1,335
2,332